No. 1
This record from the Alexandria database describes a relaxed VCr3Rh crystal. The functional is PBE-GGA.

The structure in CIF format:
```
data_VCr3Rh
_space_group_name_H-M_alt 'P m -3 m'
_space_group_IT_number 221
_space_group_name_Hall '-P 4 2 3'
_cell_length_a 4.1656
_cell_length_b 4.1656
_cell_length_c 4.1656
_cell_angle_alpha 90.00
_cell_angle_beta 90.00
_cell_angle_gamma 90.00
loop_
_atom_site_label
_atom_site_fract_x
_atom_site_fract_y
_atom_site_fract_z
V1 0.0000 0.0000 0.0000
Cr1 0.0000 0.0000 0.5000
Rh1 0.5000 0.5000 0.5000
```

Computed properties:
- E_tot: -39.20 eV per formula unit
- Distance to the lowest polymorph of the same formula: 0 meV per atom
- Crystal system: cubic
- ΔH_f (0 K): 1227 meV per atom

=====

No. 2
This record from the Alexandria database describes a relaxed CsPbO2F crystal. The functional is PBE-GGA.

The structure in CIF format:
```
data_CsPbO2F
_space_group_name_H-M_alt 'P 4/m m m'
_space_group_IT_number 123
_space_group_name_Hall '-P 4 2'
_cell_length_a 4.6601
_cell_length_b 4.6601
_cell_length_c 4.9960
_cell_angle_alpha 90.00
_cell_angle_beta 90.00
_cell_angle_gamma 90.00
loop_
_atom_site_label
_atom_site_fract_x
_atom_site_fract_y
_atom_site_fract_z
Cs1 0.0000 0.0000 0.0000
Pb1 0.5000 0.5000 0.5000
O1 0.0000 0.5000 0.0000
F1 0.0000 0.0000 0.5000
```

Computed properties:
- E_tot: -17.96 eV per formula unit
- Crystal system: tetragonal
- Formation energy from raw total energies: -0.321 eV/atom

=====

No. 3
This record from the Alexandria database describes a relaxed ReRhCl2 crystal. The functional is PBE-GGA.

The structure in CIF format:
```
data_ReRhCl2
_space_group_name_H-M_alt 'R -3 m'
_space_group_IT_number 166
_space_group_name_Hall '-R 3 2"'
_cell_length_a 2.9727
_cell_length_b 2.9727
_cell_length_c 25.1400
_cell_angle_alpha 90.00
_cell_angle_beta 90.00
_cell_angle_gamma 120.00
loop_
_atom_site_label
_atom_site_fract_x
_atom_site_fract_y
_atom_site_fract_z
Re1 0.0000 0.0000 0.0000
Rh1 0.0000 0.0000 0.5000
Cl1 0.0000 0.0000 0.4082
```

Computed properties:
- E_tot: -21.05 eV per formula unit
- Distance to the lowest polymorph of the same formula: 642 meV per atom
- Crystal system: trigonal
- Formation energy from raw total energies: 0.612 eV/atom

=====

No. 4
This record from the Alexandria database describes a relaxed Li2Pb2O5 crystal. The functional is PBE-GGA.

The structure in CIF format:
```
data_Li2Pb2O5
_space_group_name_H-M_alt 'I m a 2'
_space_group_IT_number 46
_cell_length_a 15.2535
_cell_length_b 5.3814
_cell_length_c 5.5159
_cell_angle_alpha 90.00
_cell_angle_beta 90.00
_cell_angle_gamma 90.00
loop_
_space_group_symop_operation_xyz
'x,y,z'
'-x,-y,z'
'-x+1/2,y,z'
'x+1/2,-y,z'
'x+1/2,y+1/2,z+1/2'
'-x+1/2,-y+1/2,z+1/2'
'-x,y+1/2,z+1/2'
'x,-y+1/2,z+1/2'
loop_
_atom_site_label
_atom_site_fract_x
_atom_site_fract_y
_atom_site_fract_z
Li1 0.0000 0.0000 0.0000
Li2 0.2500 0.0053 0.0453
Pb1 0.1251 0.0155 0.5372
O1 0.0511 0.2220 0.2595
O2 0.1416 0.6458 0.4058
O3 0.2500 0.1513 0.4006
```

Computed properties:
- E_tot: -46.59 eV per formula unit
- Crystal system: orthorhombic
- Formation energy from raw total energies: -1.173 eV/atom

=====

No. 5
This record from the Alexandria database describes a relaxed Pm4ZnGaCu2 crystal. The functional is PBE-GGA.

The structure in CIF format:
```
data_Pm4ZnGaCu2
_space_group_name_H-M_alt 'R -3 m'
_space_group_IT_number 166
_space_group_name_Hall '-R 3 2"'
_cell_length_a 5.1144
_cell_length_b 5.1144
_cell_length_c 25.1950
_cell_angle_alpha 90.00
_cell_angle_beta 90.00
_cell_angle_gamma 120.00
loop_
_atom_site_label
_atom_site_fract_x
_atom_site_fract_y
_atom_site_fract_z
Pm1 0.0000 0.0000 0.1244
Pm2 0.0000 0.0000 0.3747
Zn1 0.0000 0.0000 0.0000
Ga1 0.0000 0.0000 0.5000
Cu1 0.0000 0.0000 0.2519
```

Computed properties:
- E_tot: -33.81 eV per formula unit
- Crystal system: trigonal
- ΔH_f (0 K): -289 meV per atom

=====

No. 6
This record from the Alexandria database describes a relaxed CdSbBr2 crystal. The functional is PBE-GGA.

The structure in CIF format:
```
data_CdSbBr2
_space_group_name_H-M_alt 'F m -3 m'
_space_group_IT_number 225
_space_group_name_Hall '-F 4 2 3'
_cell_length_a 7.5602
_cell_length_b 7.5602
_cell_length_c 7.5602
_cell_angle_alpha 90.00
_cell_angle_beta 90.00
_cell_angle_gamma 90.00
loop_
_atom_site_label
_atom_site_fract_x
_atom_site_fract_y
_atom_site_fract_z
Cd1 0.0000 0.0000 0.0000
Sb1 0.0000 0.0000 0.5000
Br1 0.2500 0.2500 0.2500
```

Computed properties:
- E_tot: -7.89 eV per formula unit
- Distance to the lowest polymorph of the same formula: 466 meV per atom
- Crystal system: cubic
- Formation energy from raw total energies: 0.124 eV/atom

=====

What is the formula in the second record? CsPbO2F